# InSiN2F | Alexandria via LeMat-Bulk | GGA-PBE | relaxed
# E_form (uncorrected), eV/atom: -0.3663
data_InSiN2F
_chemical_formula_sum 'In1 Si1 N2 F1'
_space_group_name_H-M_alt 'P 4/m m m'
_space_group_IT_number 123
_space_group_name_Hall '-P 4 2'
_cell_length_a 3.738
_cell_length_b 3.738
_cell_length_c 3.675
_cell_angle_alpha 90.00
_cell_angle_beta 90.00
_cell_angle_gamma 90.00
loop_
_atom_site_label
_atom_site_type_symbol
_atom_site_fract_x
_atom_site_fract_y
_atom_site_fract_z
_atom_site_occupancy
In1 In 0.000 0.000 0.000 1
Si1 Si 0.500 0.500 0.500 1
N1 N 0.000 0.500 0.500 1
F1 F 0.500 0.500 0.000 1

# Sb3P | Alexandria via LeMat-Bulk | GGA-PBE | relaxed
# E_form (uncorrected), eV/atom: 0.1398
# ΔE to the lowest computed polymorph, kJ/mol of formula units: 12
data_Sb3P
_chemical_formula_sum 'Sb9 P3'
_space_group_name_H-M_alt 'R -3 m'
_space_group_IT_number 166
_space_group_name_Hall '-R 3 2"'
_cell_length_a 4.2183
_cell_length_b 4.2183
_cell_length_c 20.2672
_cell_angle_alpha 90.00
_cell_angle_beta 90.00
_cell_angle_gamma 120.00
loop_
_atom_site_label
_atom_site_type_symbol
_atom_site_fract_x
_atom_site_fract_y
_atom_site_fract_z
_atom_site_occupancy
Sb1 Sb 0.0000 0.0000 0.0000 1
Sb2 Sb 0.0000 0.0000 0.2409 1
P1 P 0.0000 0.0000 0.5000 1

# Na3Tm2InS6 | Alexandria via LeMat-Bulk | GGA-PBE | relaxed
# E_form (uncorrected), eV/atom: -1.5082
data_Na3Tm2InS6
_chemical_formula_sum 'Na6 Tm4 In2 S12'
_space_group_name_H-M_alt 'C 1 2/m 1'
_space_group_IT_number 12
_cell_length_a 6.756
_cell_length_b 11.703
_cell_length_c 7.079
_cell_angle_alpha 90.00
_cell_angle_beta 108.52
_cell_angle_gamma 90.00
loop_
_space_group_symop_operation_xyz
'x,y,z'
'-x,-y,-z'
'-x,y,-z'
'x,-y,z'
'x+1/2,y+1/2,z'
'-x+1/2,-y+1/2,-z'
'-x+1/2,y+1/2,-z'
'x+1/2,-y+1/2,z'
loop_
_atom_site_label
_atom_site_type_symbol
_atom_site_fract_x
_atom_site_fract_y
_atom_site_fract_z
_atom_site_occupancy
Na1 Na 0.000 0.000 0.000 1
Na2 Na 0.000 0.335 0.000 1
Tm1 Tm 0.000 0.167 0.500 1
In1 In 0.000 0.500 0.500 1
S1 S 0.240 0.335 0.724 1
S2 S 0.245 0.000 0.723 1

# BaZn3Rh | Alexandria via LeMat-Bulk | GGA-PBE | relaxed
# ΔE to the lowest computed polymorph, kJ/mol of formula units: 140
data_BaZn3Rh
_chemical_formula_sum 'Ba1 Zn3 Rh1'
_space_group_name_H-M_alt 'P 4 m m'
_space_group_IT_number 99
_cell_length_a 3.697
_cell_length_b 3.697
_cell_length_c 7.930
_cell_angle_alpha 90.00
_cell_angle_beta 90.00
_cell_angle_gamma 90.00
loop_
_space_group_symop_operation_xyz
'x,y,z'
'-y,x,z'
'-x,-y,z'
'y,-x,z'
'-x,y,z'
'y,x,z'
'x,-y,z'
'-y,-x,z'
loop_
_atom_site_label
_atom_site_type_symbol
_atom_site_fract_x
_atom_site_fract_y
_atom_site_fract_z
_atom_site_occupancy
Ba1 Ba 0.000 0.000 0.000 1
Zn1 Zn 0.000 0.000 0.620 1
Zn2 Zn 0.000 0.500 0.380 1
Rh1 Rh 0.500 0.500 0.646 1

# CaRe2Br | Alexandria via LeMat-Bulk | GGA-PBE | relaxed
# E_form (uncorrected), eV/atom: 0.1912
# ΔE to the lowest computed polymorph, kJ/mol of formula units: 53
data_CaRe2Br
_chemical_formula_sum 'Ca3 Re6 Br3'
_space_group_name_H-M_alt 'R 3 m'
_space_group_IT_number 160
_space_group_name_Hall 'R 3 -2"'
_cell_length_a 3.7753
_cell_length_b 3.7753
_cell_length_c 23.8186
_cell_angle_alpha 90.00
_cell_angle_beta 90.00
_cell_angle_gamma 120.00
loop_
_atom_site_label
_atom_site_type_symbol
_atom_site_fract_x
_atom_site_fract_y
_atom_site_fract_z
_atom_site_occupancy
Ca1 Ca 0.0000 0.0000 0.0000 1
Re1 Re 0.0000 0.0000 0.4738 1
Re2 Re 0.0000 0.0000 0.7637 1
Br1 Br 0.0000 0.0000 0.2491 1

A plane-wave DFT calculation with GGA-PBE was carried out for an optimized crystal structure of Tb4NiHg2.

Cell and atoms, written as CIF:
```
data_Tb4NiHg2
_chemical_formula_sum 'Tb8 Ni2 Hg4'
_space_group_name_H-M_alt 'I 4/m m m'
_space_group_IT_number 139
_space_group_name_Hall '-I 4 2'
_cell_length_a 5.131
_cell_length_b 5.131
_cell_length_c 15.184
_cell_angle_alpha 90.00
_cell_angle_beta 90.00
_cell_angle_gamma 90.00
loop_
_atom_site_label
_atom_site_type_symbol
_atom_site_fract_x
_atom_site_fract_y
_atom_site_fract_z
_atom_site_occupancy
Tb1 Tb 0.000 0.000 0.181 1
Tb2 Tb 0.000 0.500 0.000 1
Ni1 Ni 0.000 0.000 0.000 1
Hg1 Hg 0.000 0.000 0.376 1
```

# Cd2P | Alexandria via LeMat-Bulk | GGA-PBE | relaxed
# ΔE to the lowest computed polymorph, kJ/mol of formula units: 59
data_Cd2P
_chemical_formula_sum 'Cd4 P2'
_space_group_name_H-M_alt 'I 4/m m m'
_space_group_IT_number 139
_space_group_name_Hall '-I 4 2'
_cell_length_a 3.786
_cell_length_b 3.786
_cell_length_c 8.719
_cell_angle_alpha 90.00
_cell_angle_beta 90.00
_cell_angle_gamma 90.00
loop_
_atom_site_label
_atom_site_type_symbol
_atom_site_fract_x
_atom_site_fract_y
_atom_site_fract_z
_atom_site_occupancy
Cd1 Cd 0.000 0.000 0.162 1
P1 P 0.000 0.000 0.500 1

A plane-wave DFT calculation with GGA-PBE was carried out for an optimized crystal structure of GdDyHoZn.

Cell and atoms, written as CIF:
```
data_GdDyHoZn
_chemical_formula_sum 'Gd4 Dy4 Ho4 Zn4'
_space_group_name_H-M_alt 'F -4 3 m'
_space_group_IT_number 216
_space_group_name_Hall 'F -4 2 3'
_cell_length_a 7.540
_cell_length_b 7.540
_cell_length_c 7.540
_cell_angle_alpha 90.00
_cell_angle_beta 90.00
_cell_angle_gamma 90.00
loop_
_atom_site_label
_atom_site_type_symbol
_atom_site_fract_x
_atom_site_fract_y
_atom_site_fract_z
_atom_site_occupancy
Gd1 Gd 0.000 0.000 0.000 1
Dy1 Dy 0.000 0.000 0.500 1
Ho1 Ho 0.250 0.250 0.750 1
Zn1 Zn 0.250 0.250 0.250 1
```

no.,electronic total energy (eV/f.u.)
1,-28.5
2,-17.2
3,-58.5
4,-13.4
5,-27.8
6,-26.4
7,-6.4
8,-24.4